1.
# LiSc (PBE, relaxed)
data_LiSc
_space_group_name_H-M_alt 'I 41/a m d'
_space_group_IT_number 141
_cell_length_a 4.211
_cell_length_b 4.211
_cell_length_c 9.742
_cell_angle_alpha 90.00
_cell_angle_beta 90.00
_cell_angle_gamma 90.00
loop_
_space_group_symop_operation_xyz
'x,y,z'
'-x,-y,-z'
'-y+1/4,x+3/4,z+1/4'
'y+1/4,-x+3/4,-z+1/4'
'-x+1/2,-y,z+1/2'
'x+1/2,y,-z+1/2'
'y+1/4,-x+1/4,z+3/4'
'-y+1/4,x+1/4,-z+3/4'
'x,-y,-z'
'-x,y,z'
'-y+1/4,-x+1/4,-z+3/4'
'y+1/4,x+1/4,z+3/4'
'-x+1/2,y,-z+1/2'
'x+1/2,-y,z+1/2'
'y+1/4,x+3/4,-z+1/4'
'-y+1/4,-x+3/4,z+1/4'
'x+1/2,y+1/2,z+1/2'
'-x+1/2,-y+1/2,-z+1/2'
'-y+3/4,x+1/4,z+3/4'
'y+3/4,-x+1/4,-z+3/4'
'-x,-y+1/2,z'
'x,y+1/2,-z'
'y+3/4,-x+3/4,z+1/4'
'-y+3/4,x+3/4,-z+1/4'
'x+1/2,-y+1/2,-z+1/2'
'-x+1/2,y+1/2,z+1/2'
'-y+3/4,-x+3/4,-z+1/4'
'y+3/4,x+3/4,z+1/4'
'-x,y+1/2,-z'
'x,-y+1/2,z'
'y+3/4,x+1/4,-z+3/4'
'-y+3/4,-x+1/4,z+3/4'
loop_
_atom_site_label
_atom_site_type_symbol
_atom_site_fract_x
_atom_site_fract_y
_atom_site_fract_z
Li1 Li 0.000 0.250 0.375
Sc1 Sc 0.000 0.250 0.875
# **Energy above the lowest structure with this stoichiometry**: 189.7 meV/atom
# **DFT formation energy**: 0.6 eV/f.u.

***

2.
# Cs4GaI5 (PBE, relaxed)
data_Cs4GaI5
_space_group_name_H-M_alt 'I 4'
_space_group_IT_number 79
_space_group_name_Hall 'I 4'
_cell_length_a 12.027
_cell_length_b 12.027
_cell_length_c 7.804
_cell_angle_alpha 90.00
_cell_angle_beta 90.00
_cell_angle_gamma 90.00
loop_
_atom_site_label
_atom_site_type_symbol
_atom_site_fract_x
_atom_site_fract_y
_atom_site_fract_z
Cs1 Cs 0.095 0.701 0.000
Ga1 Ga 0.000 0.000 0.525
I1 I 0.000 0.000 0.913
I2 I 0.092 0.722 0.500
# **Raw total energy**: -2.71 eV/atom

***

3.
# Tl6Mo7 (PBE, relaxed)
data_Tl6Mo7
_space_group_name_H-M_alt 'R -3 m'
_space_group_IT_number 166
_space_group_name_Hall '-R 3 2"'
_cell_length_a 5.5556
_cell_length_b 5.5556
_cell_length_c 29.1150
_cell_angle_alpha 90.00
_cell_angle_beta 90.00
_cell_angle_gamma 120.00
loop_
_atom_site_label
_atom_site_type_symbol
_atom_site_fract_x
_atom_site_fract_y
_atom_site_fract_z
Tl1 Tl 0.0000 0.0000 0.0520
Tl2 Tl 0.0000 0.0000 0.1566
Tl3 Tl 0.0000 0.0000 0.3321
Mo1 Mo 0.0000 0.0000 0.5000
Mo2 Mo 0.0130 0.5065 0.0900
# **DFT formation energy**: 8.3 eV/f.u.

***

4.
# In2SbPd2 (PBE, relaxed)
data_In2SbPd2
_space_group_name_H-M_alt 'P 4/m b m'
_space_group_IT_number 127
_space_group_name_Hall '-P 4 2ab'
_cell_length_a 8.258
_cell_length_b 8.258
_cell_length_c 3.023
_cell_angle_alpha 90.00
_cell_angle_beta 90.00
_cell_angle_gamma 90.00
loop_
_atom_site_label
_atom_site_type_symbol
_atom_site_fract_x
_atom_site_fract_y
_atom_site_fract_z
In1 In 0.148 0.352 0.000
Sb1 Sb 0.000 0.000 0.000
Pd1 Pd 0.144 0.644 0.500
# **Energy above the lowest structure with this stoichiometry**: 103.3 meV/atom

***

5.
# PmTm5Pb5 (PBE, relaxed)
data_PmTm5Pb5
_space_group_name_H-M_alt 'C 1 2/m 1'
_space_group_IT_number 12
_space_group_name_Hall '-C 2y'
_cell_length_a 15.536
_cell_length_b 6.247
_cell_length_c 7.378
_cell_angle_alpha 90.00
_cell_angle_beta 102.80
_cell_angle_gamma 90.00
loop_
_atom_site_label
_atom_site_type_symbol
_atom_site_fract_x
_atom_site_fract_y
_atom_site_fract_z
Pm1 Pm 0.000 0.000 0.000
Tm1 Tm 0.000 0.000 0.500
Tm2 Tm 0.152 0.500 0.343
Tm3 Tm 0.167 0.500 0.843
Pb1 Pb 0.000 0.500 0.000
Pb2 Pb 0.170 0.000 0.345
Pb3 Pb 0.171 0.000 0.812
# **DFT formation energy**: -2.5 eV/f.u.

***

6.
# KAg2Se (PBE, relaxed)
data_KAg2Se
_space_group_name_H-M_alt 'P 1 2/m 1'
_space_group_IT_number 10
_space_group_name_Hall '-P 2y'
_cell_length_a 3.027
_cell_length_b 5.443
_cell_length_c 5.695
_cell_angle_alpha 90.00
_cell_angle_beta 90.04
_cell_angle_gamma 90.00
loop_
_atom_site_label
_atom_site_type_symbol
_atom_site_fract_x
_atom_site_fract_y
_atom_site_fract_z
K1 K 0.000 0.000 0.000
Ag1 Ag 0.498 0.500 0.750
Se1 Se 0.500 0.000 0.500
# **Raw total energy**: -2.66 eV/atom

***

7.
# LiSiMo2 (PBE, relaxed)
data_LiSiMo2
_space_group_name_H-M_alt 'P 1 2/m 1'
_space_group_IT_number 10
_space_group_name_Hall '-P 2y'
_cell_length_a 2.676
_cell_length_b 4.130
_cell_length_c 5.290
_cell_angle_alpha 90.00
_cell_angle_beta 103.84
_cell_angle_gamma 90.00
loop_
_atom_site_label
_atom_site_type_symbol
_atom_site_fract_x
_atom_site_fract_y
_atom_site_fract_z
Li1 Li 0.000 0.000 0.000
Si1 Si 0.500 0.000 0.500
Mo1 Mo 0.255 0.500 0.751
# **Raw total energy**: -7.16 eV/atom

***

8.
# LiSb2Pd2 (PBE, relaxed)
data_LiSb2Pd2
_space_group_name_H-M_alt 'P -1'
_space_group_IT_number 2
_space_group_name_Hall '-P 1'
_cell_length_a 4.527
_cell_length_b 6.953
_cell_length_c 7.167
_cell_angle_alpha 93.23
_cell_angle_beta 108.19
_cell_angle_gamma 108.94
loop_
_atom_site_label
_atom_site_type_symbol
_atom_site_fract_x
_atom_site_fract_y
_atom_site_fract_z
Li1 Li 0.001 0.252 0.250
Sb1 Sb 0.281 0.400 0.665
Sb2 Sb 0.281 0.900 0.165
Pd1 Pd 0.405 0.278 0.032
Pd2 Pd 0.405 0.777 0.531
# **Energy above the lowest structure with this stoichiometry**: 0.0 meV/atom

***

9.
# Zr4Hg (PBE, relaxed)
data_Zr4Hg
_space_group_name_H-M_alt 'I 4/m m m'
_space_group_IT_number 139
_space_group_name_Hall '-I 4 2'
_cell_length_a 4.084
_cell_length_b 4.084
_cell_length_c 14.606
_cell_angle_alpha 90.00
_cell_angle_beta 90.00
_cell_angle_gamma 90.00
loop_
_atom_site_label
_atom_site_type_symbol
_atom_site_fract_x
_atom_site_fract_y
_atom_site_fract_z
Zr1 Zr 0.000 0.000 0.090
Zr2 Zr 0.000 0.500 0.250
Hg1 Hg 0.000 0.000 0.500
# **Energy above the lowest structure with this stoichiometry**: 525.6 meV/atom
# **DFT formation energy**: 2.2 eV/f.u.

***

10.
# LiTlV2N (PBE, relaxed)
data_LiTlV2N
_space_group_name_H-M_alt 'P 4/m m m'
_space_group_IT_number 123
_space_group_name_Hall '-P 4 2'
_cell_length_a 5.178
_cell_length_b 5.178
_cell_length_c 4.404
_cell_angle_alpha 90.00
_cell_angle_beta 90.00
_cell_angle_gamma 90.00
loop_
_atom_site_label
_atom_site_type_symbol
_atom_site_fract_x
_atom_site_fract_y
_atom_site_fract_z
Li1 Li 0.000 0.000 0.000
Tl1 Tl 0.500 0.500 0.500
V1 V 0.000 0.500 0.500
N1 N 0.500 0.500 0.000
# **Raw total energy**: -3.87 eV/atom

***

11.
# TiNiOs (PBE, relaxed)
data_TiNiOs
_space_group_name_H-M_alt 'P 1 21/m 1'
_space_group_IT_number 11
_space_group_name_Hall '-P 2yb'
_cell_length_a 4.585
_cell_length_b 4.268
_cell_length_c 4.670
_cell_angle_alpha 90.00
_cell_angle_beta 114.63
_cell_angle_gamma 90.00
loop_
_atom_site_label
_atom_site_type_symbol
_atom_site_fract_x
_atom_site_fract_y
_atom_site_fract_z
Ti1 Ti 0.044 0.250 0.225
Ni1 Ni 0.340 0.750 0.511
Os1 Os 0.352 0.250 0.857
# **Energy above the lowest structure with this stoichiometry**: 146.8 meV/atom
# **DFT formation energy**: -0.9 eV/f.u.

***

12.
# AlCdOs2 (PBE, relaxed)
data_AlCdOs2
_space_group_name_H-M_alt 'I 4/m m m'
_space_group_IT_number 139
_space_group_name_Hall '-I 4 2'
_cell_length_a 3.954
_cell_length_b 3.954
_cell_length_c 8.005
_cell_angle_alpha 90.00
_cell_angle_beta 90.00
_cell_angle_gamma 90.00
loop_
_atom_site_label
_atom_site_type_symbol
_atom_site_fract_x
_atom_site_fract_y
_atom_site_fract_z
Al1 Al 0.000 0.000 0.000
Cd1 Cd 0.000 0.000 0.500
Os1 Os 0.000 0.500 0.250
# **Energy above the lowest structure with this stoichiometry**: 385.6 meV/atom
# **DFT formation energy**: 1.9 eV/f.u.